A geometry-optimized Mg2Bi2N structure, computed with PBE.

The energy above the most stable polymorph in this dataset is 0 meV per atom. The value obtained for the total magnetization is 0.00 μB/f.u. The calculation puts the raw formation energy at 2.9 eV per formula unit.

The structure belongs to space group P4/mbm (No. 127); the cell edges are 6.832, 6.832 and 5.155 Å and the angles 90.00°, 90.00° and 90.00°. The distinct sites, in fractional coordinates, are Mg at (0.158, 0.342, 0.000), Bi at (0.179, 0.679, 0.500) and N at (0.000, 0.000, 0.500).

A geometry-optimized MgNpBi2N structure, computed with PBE.

The value obtained for the total magnetization is 3.06 μB/f.u. The calculation puts the raw formation energy at -2.3 eV per formula unit.

The structure belongs to space group P4/nmm (No. 129, origin choice 2); the cell edges are 3.766, 3.766 and 18.565 Å and the angles 90.00°, 90.00° and 90.00°. The distinct sites, in fractional coordinates, are Mg at (0.250, 0.250, 0.161), Np at (0.250, 0.250, 0.562), Bi at (0.250, 0.250, 0.317), Bi at (0.250, 0.250, 0.931) and N at (0.250, 0.750, 0.500).

A geometry-optimized MgBiN2O structure, computed with PBE.

The value obtained for the total magnetization is 0.71 μB/f.u. The calculation puts the raw formation energy at 4.0 eV per formula unit.

The structure belongs to space group P4/mmm (No. 123); the cell edges are 4.274, 4.274 and 4.252 Å and the angles 90.00°, 90.00° and 90.00°. The distinct sites, in fractional coordinates, are Mg at (0.000, 0.000, 0.000), Bi at (0.500, 0.500, 0.500), N at (0.000, 0.500, 0.500) and O at (0.500, 0.500, 0.000).